No. 1
LaMgCrNiO6 | PBE+U | relaxed

POSCAR file:
```
LaMgCrNiO6
1.0
5.437 0.000 0.000
0.000 5.321 -0.002
0.000 5.298 7.653
Cr O Ni Mg La
2 12 2 2 2
Direct
0.262 0.992 0.000 Cr
0.738 0.992 0.500 Cr
0.509 0.265 0.943 O
0.231 0.105 0.762 O
0.769 0.105 0.262 O
0.035 0.787 0.556 O
0.527 0.678 0.553 O
0.473 0.678 0.053 O
0.491 0.265 0.443 O
0.965 0.787 0.056 O
0.064 0.368 0.939 O
0.695 0.839 0.741 O
0.305 0.839 0.241 O
0.936 0.368 0.439 O
0.752 0.493 0.999 Ni
0.248 0.493 0.499 Ni
0.692 0.717 0.259 Mg
0.308 0.717 0.759 Mg
0.797 0.256 0.748 La
0.203 0.256 0.248 La
```

Results
space-group type: Pc (7)


No. 2
LaMg2CrO | PBE+U | relaxed

POSCAR file:
```
LaMg2CrO
1.0
5.788 0.000 0.000
0.000 3.752 0.000
0.000 0.000 5.788
Mg La O Cr
2 1 1 1
Direct
0.000 0.000 0.500 Mg
0.500 0.000 0.000 Mg
0.500 0.500 0.500 La
0.000 0.500 0.000 O
0.000 0.000 0.000 Cr
```

Results
space-group type: P4/mmm (123)


No. 3
LaMgCrSnO6 | PBE+U | relaxed

POSCAR file:
```
LaMgCrSnO6
1.0
5.632 0.000 0.000
0.000 5.440 -0.004
0.000 5.384 7.866
Sn O Mg La Cr
2 12 2 2 2
Direct
0.249 0.499 0.503 Sn
0.751 0.499 0.003 Sn
0.021 0.849 0.434 O
0.440 0.754 0.937 O
0.191 0.660 0.246 O
0.809 0.660 0.746 O
0.968 0.214 0.563 O
0.556 0.120 0.064 O
0.719 0.389 0.253 O
0.281 0.389 0.753 O
0.979 0.849 0.934 O
0.444 0.120 0.564 O
0.032 0.214 0.063 O
0.560 0.754 0.437 O
0.191 0.778 0.751 Mg
0.809 0.778 0.251 Mg
0.291 0.239 0.250 La
0.709 0.239 0.750 La
0.751 0.001 0.499 Cr
0.249 0.001 0.999 Cr
```

Results
space-group type: Pc (7)


Number 1: size of the total moment 1.91 μB per cell, raw total energy -6.6582 eV per atom. Number 2: size of the total moment 3.60 μB per cell, raw total energy -4.2558 eV per atom. Number 3: size of the total moment 6.00 μB per cell, raw total energy -7.1139 eV per atom.